Entry 1:
DFT (PBE) results for an optimized crystal structure of PuTaGa2.

Summary:
As for the energy of formation: -0.12 eV/atom. The total magnetization comes out at 5.195 μB/f.u.

Structure (extended XYZ):
```
4
Lattice="-0.225 0.839 -3.384 -1.829 -2.915 -0.601 -5.369 3.135 1.134" Properties=species:S:1:pos:R:3 pbc="T T T"
Ta -1.027 -1.038 -1.992
Ga -4.251 2.482 0.898
Ga -1.119 0.653 0.236
Pu -3.712 0.529 -1.425
```



Entry 2:
DFT (PBE) results for an optimized crystal structure of PuTaGa.

Summary:
As for the energy of formation: 0.13 eV/atom. The total magnetization comes out at 5.002 μB/f.u.

Structure (extended XYZ):
```
3
Lattice="2.984 0.000 0.000 0.000 4.827 0.000 0.000 -2.414 4.181" Properties=species:S:1:pos:R:3 pbc="T T T"
Ta 0.497 0.000 2.787
Ga 0.497 0.000 0.000
Pu 1.990 2.414 1.394
```



Entry 3:
DFT (PBE) results for an optimized crystal structure of Pu2TaGa.

Summary:
As for the energy of formation: 0.15 eV/atom. The total magnetization comes out at 10.255 μB/f.u.

Structure (extended XYZ):
```
4
Lattice="2.990 0.000 0.000 0.000 5.389 0.000 0.000 0.000 5.389" Properties=species:S:1:pos:R:3 pbc="T T T"
Ta 1.495 0.000 0.000
Ga 1.495 2.694 2.694
Pu 0.000 0.000 2.694
Pu 0.000 2.694 0.000
```



Entry 4:
DFT (PBE) results for an optimized crystal structure of PuTaGa.

Summary:
As for the energy of formation: 0.06 eV/atom. The total magnetization comes out at 0.000 μB/f.u.

Structure (extended XYZ):
```
12
Lattice="3.339 0.000 0.000 0.000 8.903 0.000 0.000 0.000 7.622" Properties=species:S:1:pos:R:3 pbc="T T T"
Pu 0.835 3.677 4.063
Pu 2.504 5.226 3.558
Pu 0.835 0.775 0.252
Pu 2.504 8.128 7.369
Ga 0.835 5.984 6.015
Ga 2.504 2.919 1.607
Ga 0.835 7.370 2.204
Ga 2.504 1.533 5.417
Ta 0.835 5.008 0.965
Ta 2.504 3.895 6.657
Ta 0.835 8.346 4.775
Ta 2.504 0.556 2.846
```



Entry 5:
DFT (PBE) results for an optimized crystal structure of TbPuGa4.

Summary:
As for the energy of formation: -0.44 eV/atom. The total magnetization comes out at 6.053 μB/f.u.

Structure (extended XYZ):
```
6
Lattice="5.531 0.000 0.000 2.765 4.790 0.000 2.765 1.597 4.516" Properties=species:S:1:pos:R:3 pbc="T T T"
Tb 0.000 0.000 0.000
Ga 5.531 3.193 0.568
Ga 5.531 1.600 2.821
Ga 6.910 3.990 2.821
Ga 4.151 3.990 2.821
Pu 2.765 1.597 1.129
```



Entry 6:
DFT (PBE) results for an optimized crystal structure of Tb2PuGa9.

Summary:
As for the energy of formation: -0.49 eV/atom. The total magnetization comes out at 5.183 μB/f.u.

Structure (extended XYZ):
```
12
Lattice="4.279 0.000 0.000 0.000 4.279 0.000 0.000 0.000 12.864" Properties=species:S:1:pos:R:3 pbc="T T T"
Tb 0.000 0.000 4.298
Tb 0.000 0.000 8.566
Pu 0.000 0.000 0.000
Ga 2.139 2.139 0.000
Ga 2.139 2.139 4.265
Ga 2.139 2.139 8.599
Ga 2.139 0.000 2.118
Ga 2.139 0.000 6.432
Ga 2.139 0.000 10.746
Ga 0.000 2.139 2.118
Ga 0.000 2.139 6.432
Ga 0.000 2.139 10.746
```



Entry 7:
DFT (PBE) results for an optimized crystal structure of TbPuGa4.

Summary:
As for the energy of formation: -0.50 eV/atom. The total magnetization comes out at 5.868 μB/f.u.

Structure (extended XYZ):
```
6
Lattice="-4.118 -1.262 -1.020 -1.198 -5.321 1.814 -3.759 1.107 4.204" Properties=species:S:1:pos:R:3 pbc="T T T"
Tb 0.000 0.000 0.000
Pu -2.479 -2.107 3.009
Ga -3.755 -3.856 0.725
Ga -4.035 -4.842 3.075
Ga -5.320 -1.620 4.273
Ga -5.039 -0.634 1.923
```



Entry 8:
DFT (PBE) results for an optimized crystal structure of TbPu2Ga.

Summary:
As for the energy of formation: -0.17 eV/atom. The total magnetization comes out at 11.779 μB/f.u.

Structure (extended XYZ):
```
4
Lattice="5.021 0.000 0.000 0.000 4.414 0.000 0.000 0.000 4.414" Properties=species:S:1:pos:R:3 pbc="T T T"
Tb 2.510 2.207 2.207
Ga 2.510 0.000 0.000
Pu 0.000 0.000 2.207
Pu 0.000 2.207 0.000
```